VASP calculation (PBE) on a relaxed NaZr2TiTl crystal.

Computed properties:
space-group type	P4/mmm, No. 123
DFT total energy	-4.423	eV/atom

POSCAR file:
```
NaZr2TiTl
1.0
5.043 0.000 0.000
0.000 5.043 0.000
0.000 0.000 4.730
Na Zr Ti Tl
1 2 1 1
direct
0.000 0.000 0.000 Na
0.000 0.500 0.000 Zr
0.500 0.000 0.000 Zr
0.000 0.000 0.500 Ti
0.500 0.500 0.500 Tl
```